P:
This record from Alexandria via LeMat-Bulk describes a geometry-optimized Sm3Si3Rh2 structure. The functional is PBE.

abc: 7.681 14.282 6.057
angles: 90.00 90.00 90.00
Fractional coordinates of all 32 atoms:
Sm: 0.021 0.108 0.138
Sm: 0.021 0.392 0.138
Sm: 0.163 0.250 0.630
Sm: 0.337 0.750 0.130
Sm: 0.479 0.608 0.638
Sm: 0.479 0.892 0.638
Sm: 0.521 0.108 0.362
Sm: 0.521 0.392 0.362
Sm: 0.663 0.250 0.870
Sm: 0.837 0.750 0.370
Sm: 0.979 0.608 0.862
Sm: 0.979 0.892 0.862
Si: 0.176 0.045 0.603
Si: 0.176 0.455 0.603
Si: 0.190 0.750 0.595
Si: 0.310 0.250 0.095
Si: 0.324 0.545 0.103
Si: 0.324 0.955 0.103
Si: 0.676 0.045 0.897
Si: 0.676 0.455 0.897
Si: 0.690 0.750 0.905
Si: 0.810 0.250 0.405
Si: 0.824 0.545 0.397
Si: 0.824 0.955 0.397
Rh: 0.128 0.592 0.381
Rh: 0.128 0.908 0.381
Rh: 0.372 0.092 0.881
Rh: 0.372 0.408 0.881
Rh: 0.628 0.592 0.119
Rh: 0.628 0.908 0.119
Rh: 0.872 0.092 0.619
Rh: 0.872 0.408 0.619



Q:
This record from Alexandria via LeMat-Bulk describes a geometry-optimized Sm3Si3Rh2 structure. The functional is PBE.

abc: 5.851 5.851 14.020
angles: 90.00 90.00 137.57
Fractional coordinates of all 16 atoms:
Sm: 0.079 0.921 0.614
Sm: 0.079 0.921 0.886
Sm: 0.358 0.642 0.750
Sm: 0.642 0.358 0.250
Sm: 0.921 0.079 0.114
Sm: 0.921 0.079 0.386
Si: 0.332 0.668 0.250
Si: 0.386 0.614 0.540
Si: 0.386 0.614 0.960
Si: 0.614 0.386 0.040
Si: 0.614 0.386 0.460
Si: 0.668 0.332 0.750
Rh: 0.217 0.783 0.077
Rh: 0.217 0.783 0.423
Rh: 0.783 0.217 0.577
Rh: 0.783 0.217 0.923



Which is most stable, and by how much? Q, by 23 meV per atom.